First-principles (PBE) data for a geometry-optimized Ba2ScRe3O12 structure, as listed in Alexandria via LeMat-Bulk.

```
Ba2ScRe3O12
1.0
7.312 -0.014 -0.010
3.599 6.365 -0.010
3.599 2.095 6.011
Ba Sc Re O
2 1 3 12
Cartesian
9.616 5.597 3.970
4.894 2.849 2.021
0.000 0.000 0.000
3.656 -0.007 -0.005
1.799 3.183 -0.005
1.799 1.047 3.005
6.679 3.888 5.601
11.248 6.547 2.069
9.135 7.747 5.495
9.013 2.562 1.817
11.248 4.117 5.495
6.679 6.572 1.817
7.831 4.558 0.389
3.262 1.899 3.922
5.375 0.698 0.495
5.497 5.884 4.173
3.262 4.329 0.495
7.831 1.874 4.173
```


First-principles (PBE) data for a geometry-optimized BaScReO6 structure, as listed in Alexandria via LeMat-Bulk.

```
BaScReO6
1.0
5.401 0.000 -0.001
2.701 4.677 0.000
0.002 0.000 5.705
Ba Sc Re O
1 1 1 6
Cartesian
8.104 4.677 5.704
5.402 3.118 2.852
2.702 1.559 2.852
1.159 1.747 1.751
2.093 0.130 3.953
4.244 1.747 3.953
1.768 2.801 3.953
3.635 2.801 1.751
3.310 0.130 1.751
```


First-principles (PBE) data for a geometry-optimized BaScRe2O8 structure, as listed in Alexandria via LeMat-Bulk.

```
BaScRe2O8
1.0
-3.218 -2.946 -3.912
1.662 -2.601 4.981
-6.144 2.355 3.281
Ba Sc Re O
1 1 2 8
Cartesian
0.000 0.000 0.000
-3.072 1.177 1.640
-3.097 -2.254 -0.143
-4.602 -0.939 4.493
-6.108 -0.362 5.297
-2.726 -0.620 0.596
-4.390 -2.132 -1.435
-1.592 -2.831 -0.947
-3.310 -1.061 5.784
-4.973 -2.573 3.754
-4.163 0.296 3.213
-3.537 -3.488 1.136
```


First-principles (PBE) data for a geometry-optimized BaScReO2 structure, as listed in Alexandria via LeMat-Bulk.

```
BaScReO2
1.0
4.277 0.000 0.000
0.000 9.420 0.000
0.000 0.000 4.277
Sc Re Ba O
1 1 1 2
Cartesian
0.000 4.710 0.000
2.139 4.710 2.139
0.000 0.000 0.000
0.000 0.000 2.139
2.139 0.000 0.000
```


First-principles (PBE) data for a geometry-optimized Ba2ScReO6 structure, as listed in Alexandria via LeMat-Bulk.

```
Ba2ScReO6
1.0
5.835 0.000 0.000
2.918 5.054 0.000
2.918 1.685 4.765
Sc Re Ba O
1 1 2 6
Cartesian
5.835 3.369 2.382
0.000 0.000 0.000
2.918 1.685 1.191
8.753 5.054 3.573
5.835 5.109 3.613
7.343 2.499 3.613
4.328 4.239 1.152
7.343 4.239 1.152
5.835 1.629 1.152
4.328 2.499 3.613
```


First-principles (PBE) data for a geometry-optimized BaSc2ReO8 structure, as listed in Alexandria via LeMat-Bulk.

```
BaSc2ReO8
1.0
4.941 0.009 -0.002
0.046 4.685 -0.003
0.005 0.009 7.080
Ba Sc Re O
1 2 1 8
Cartesian
0.003 0.005 3.540
2.497 2.354 5.414
2.495 2.350 1.660
0.000 0.000 0.000
0.864 3.626 1.318
3.472 3.484 7.075
4.122 1.070 1.317
4.128 1.077 5.756
1.520 1.220 -0.001
0.870 3.634 5.757
2.698 3.393 3.536
2.294 1.311 3.538
```


So what do the calculations give for formation energy (no corrections)? Going down the list: -201.0, -240.7, -200.0, 85.1, -254.1, -229.4 kJ per mole of atoms.
So what do the calculations give for total magnetization? Going down the list: 2.514, 0.000, 3.028, 2.428, 1.825, 0.206 Bohr magnetons per cell.
So what do the calculations give for mass density? Going down the list: 6.3, 5.4, 5.2, 3.9, 7.1, 5.5 Mg/m³.